# Nd5DyHo2Tm, optimized geometry, DFT PBE-GGA
data_Nd5DyHo2Tm
_chemical_formula_sum 'Nd20 Dy4 Ho8 Tm4'
_cell_length_a 5.630
_cell_length_b 20.419
_cell_length_c 10.704
_cell_angle_alpha 90.00
_cell_angle_beta 90.00
_cell_angle_gamma 90.00
_symmetry_space_group_name_H-M 'C m c 21'
_symmetry_Int_Tables_number 36
_symmetry_space_group_name_Hall 'C 2c -2'
loop_
_atom_site_label
_atom_site_fract_x
_atom_site_fract_y
_atom_site_fract_z
Nd1 0.000 0.016 0.000
Nd2 0.000 0.116 0.276
Nd3 0.000 0.203 0.963
Nd4 0.000 0.221 0.568
Nd5 0.000 0.484 0.272
Dy1 0.000 0.301 0.267
Ho1 0.000 0.386 0.563
Ho2 0.000 0.388 0.995
Tm1 0.000 0.093 0.721
# energy relative to the elements: 0.1420 eV per atom


# Nd4DyHoTm2, optimized geometry, DFT PBE-GGA
data_Nd4DyHoTm2
_chemical_formula_sum 'Nd4 Dy1 Ho1 Tm2'
_cell_length_a 5.115
_cell_length_b 5.138
_cell_length_c 9.989
_cell_angle_alpha 90.00
_cell_angle_beta 90.00
_cell_angle_gamma 90.00
_symmetry_space_group_name_H-M 'P m m m'
_symmetry_Int_Tables_number 47
_symmetry_space_group_name_Hall '-P 2 2'
loop_
_atom_site_label
_atom_site_fract_x
_atom_site_fract_y
_atom_site_fract_z
Nd1 0.000 0.000 0.250
Nd2 0.500 0.500 0.250
Dy1 0.000 0.500 0.000
Ho1 0.500 0.000 0.500
Tm1 0.000 0.500 0.500
Tm2 0.500 0.000 0.000
# energy relative to the elements: 0.0177 eV per atom


# NdDy2Ho6Tm, optimized geometry, DFT PBE-GGA
data_NdDy2Ho6Tm
_chemical_formula_sum 'Nd4 Dy8 Ho24 Tm4'
_cell_length_a 9.038
_cell_length_b 14.969
_cell_length_c 9.491
_cell_angle_alpha 90.00
_cell_angle_beta 97.08
_cell_angle_gamma 90.00
_symmetry_space_group_name_H-M 'C 1 2/c 1'
_symmetry_Int_Tables_number 15
_symmetry_space_group_name_Hall '-C 2yc'
loop_
_atom_site_label
_atom_site_fract_x
_atom_site_fract_y
_atom_site_fract_z
Nd1 0.000 0.025 0.250
Dy1 0.248 0.447 0.454
Ho1 0.063 0.187 0.943
Ho2 0.100 0.392 0.118
Ho3 0.208 0.225 0.316
Tm1 0.000 0.410 0.750
# energy relative to the elements: 0.1200 eV per atom


# NdDy3Ho6Tm2, optimized geometry, DFT PBE-GGA
data_NdDy3Ho6Tm2
_chemical_formula_sum 'Nd2 Dy6 Ho12 Tm4'
_cell_length_a 6.121
_cell_length_b 10.589
_cell_length_c 11.718
_cell_angle_alpha 90.00
_cell_angle_beta 99.95
_cell_angle_gamma 90.00
_symmetry_space_group_name_H-M 'C 1 2/m 1'
_symmetry_Int_Tables_number 12
_symmetry_space_group_name_Hall '-C 2y'
loop_
_atom_site_label
_atom_site_fract_x
_atom_site_fract_y
_atom_site_fract_z
Nd1 0.000 0.000 0.000
Dy1 0.000 0.167 0.500
Dy2 0.000 0.500 0.500
Ho1 0.249 0.333 0.749
Ho2 0.250 0.000 0.750
Tm1 0.000 0.333 0.000
# energy relative to the elements: 0.0190 eV per atom


# Nd2DyYHo2, optimized geometry, DFT PBE-GGA
data_Nd2DyYHo2
_chemical_formula_sum 'Nd4 Dy2 Y2 Ho4'
_cell_length_a 6.591
_cell_length_b 7.052
_cell_length_c 8.831
_cell_angle_alpha 90.00
_cell_angle_beta 103.55
_cell_angle_gamma 90.00
_symmetry_space_group_name_H-M 'P 1 21/m 1'
_symmetry_Int_Tables_number 11
_symmetry_space_group_name_Hall '-P 2yb'
loop_
_atom_site_label
_atom_site_fract_x
_atom_site_fract_y
_atom_site_fract_z
Nd1 0.124 0.250 0.348
Nd2 0.259 0.750 0.990
Dy1 0.119 0.750 0.349
Y1 0.250 0.250 0.990
Ho1 0.405 0.001 0.683
# energy relative to the elements: 0.1235 eV per atom


# Nd3DyY6Ho2, optimized geometry, DFT PBE-GGA
data_Nd3DyY6Ho2
_chemical_formula_sum 'Nd6 Dy2 Y12 Ho4'
_cell_length_a 6.223
_cell_length_b 10.773
_cell_length_c 11.858
_cell_angle_alpha 90.00
_cell_angle_beta 100.04
_cell_angle_gamma 90.00
_symmetry_space_group_name_H-M 'C 1 2/m 1'
_symmetry_Int_Tables_number 12
_symmetry_space_group_name_Hall '-C 2y'
loop_
_atom_site_label
_atom_site_fract_x
_atom_site_fract_y
_atom_site_fract_z
Nd1 0.000 0.000 0.000
Nd2 0.000 0.333 0.000
Dy1 0.000 0.500 0.500
Y1 0.249 0.000 0.746
Y2 0.249 0.333 0.746
Ho1 0.000 0.167 0.500
# energy relative to the elements: 0.0185 eV per atom


# Nd4Dy2YHo2, optimized geometry, DFT PBE-GGA
data_Nd4Dy2YHo2
_chemical_formula_sum 'Nd8 Dy4 Y2 Ho4'
_cell_length_a 15.311
_cell_length_b 5.095
_cell_length_c 8.055
_cell_angle_alpha 90.00
_cell_angle_beta 108.47
_cell_angle_gamma 90.00
_symmetry_space_group_name_H-M 'C 1 2/m 1'
_symmetry_Int_Tables_number 12
_symmetry_space_group_name_Hall '-C 2y'
loop_
_atom_site_label
_atom_site_fract_x
_atom_site_fract_y
_atom_site_fract_z
Nd1 0.054 0.000 0.332
Nd2 0.223 0.500 0.332
Dy1 0.112 0.500 0.669
Y1 0.000 0.500 0.000
Ho1 0.168 0.000 0.000
# energy relative to the elements: 0.0201 eV per atom


# NdDy2YHo2, optimized geometry, DFT PBE-GGA
data_NdDy2YHo2
_chemical_formula_sum 'Nd2 Dy4 Y2 Ho4'
_cell_length_a 6.564
_cell_length_b 17.739
_cell_length_c 3.404
_cell_angle_alpha 90.00
_cell_angle_beta 90.00
_cell_angle_gamma 90.00
_symmetry_space_group_name_H-M 'P n n m'
_symmetry_Int_Tables_number 58
_symmetry_space_group_name_Hall '-P 2 2n'
loop_
_atom_site_label
_atom_site_fract_x
_atom_site_fract_y
_atom_site_fract_z
Nd1 0.000 0.000 0.000
Dy1 0.227 0.185 0.000
Y1 0.000 0.500 0.000
Ho1 0.225 0.351 0.500
# energy relative to the elements: 0.2765 eV per atom


# Nd5DyY2Ho, optimized geometry, DFT PBE-GGA
data_Nd5DyY2Ho
_chemical_formula_sum 'Nd20 Dy4 Y8 Ho4'
_cell_length_a 5.682
_cell_length_b 20.456
_cell_length_c 10.704
_cell_angle_alpha 90.00
_cell_angle_beta 90.00
_cell_angle_gamma 90.00
_symmetry_space_group_name_H-M 'C m c 21'
_symmetry_Int_Tables_number 36
_symmetry_space_group_name_Hall 'C 2c -2'
loop_
_atom_site_label
_atom_site_fract_x
_atom_site_fract_y
_atom_site_fract_z
Nd1 0.000 0.017 0.000
Nd2 0.000 0.281 0.293
Nd3 0.000 0.297 0.687
Nd4 0.000 0.388 0.004
Nd5 0.000 0.482 0.726
Dy1 0.000 0.200 0.992
Y1 0.000 0.112 0.719
Y2 0.000 0.115 0.294
Ho1 0.000 0.408 0.445
# energy relative to the elements: 0.1395 eV per atom


# Nd2DyY6Ho, optimized geometry, DFT PBE-GGA
data_Nd2DyY6Ho
_chemical_formula_sum 'Nd8 Dy4 Y24 Ho4'
_cell_length_a 9.084
_cell_length_b 15.057
_cell_length_c 9.797
_cell_angle_alpha 90.00
_cell_angle_beta 99.89
_cell_angle_gamma 90.00
_symmetry_space_group_name_H-M 'C 1 2/c 1'
_symmetry_Int_Tables_number 15
_symmetry_space_group_name_Hall '-C 2yc'
loop_
_atom_site_label
_atom_site_fract_x
_atom_site_fract_y
_atom_site_fract_z
Nd1 0.243 0.050 0.044
Dy1 0.000 0.406 0.250
Y1 0.065 0.189 0.443
Y2 0.102 0.396 0.618
Y3 0.202 0.222 0.814
Ho1 0.000 0.018 0.750
# energy relative to the elements: 0.1131 eV per atom


# Nd6DyYHo2, optimized geometry, DFT PBE-GGA
data_Nd6DyYHo2
_chemical_formula_sum 'Nd24 Dy4 Y4 Ho8'
_cell_length_a 9.244
_cell_length_b 15.382
_cell_length_c 9.683
_cell_angle_alpha 90.00
_cell_angle_beta 97.50
_cell_angle_gamma 90.00
_symmetry_space_group_name_H-M 'C 1 2/c 1'
_symmetry_Int_Tables_number 15
_symmetry_space_group_name_Hall '-C 2yc'
loop_
_atom_site_label
_atom_site_fract_x
_atom_site_fract_y
_atom_site_fract_z
Nd1 0.061 0.179 0.446
Nd2 0.101 0.393 0.619
Nd3 0.212 0.224 0.813
Dy1 0.000 0.411 0.250
Y1 0.000 0.027 0.750
Ho1 0.250 0.050 0.045
# energy relative to the elements: 0.1140 eV per atom


# NdDy2YHo5, optimized geometry, DFT PBE-GGA
data_NdDy2YHo5
_chemical_formula_sum 'Nd4 Dy8 Y4 Ho20'
_cell_length_a 8.962
_cell_length_b 8.962
_cell_length_c 14.585
_cell_angle_alpha 90.00
_cell_angle_beta 90.00
_cell_angle_gamma 90.00
_symmetry_space_group_name_H-M 'I 4/m c m'
_symmetry_Int_Tables_number 140
_symmetry_space_group_name_Hall '-I 4 2c'
loop_
_atom_site_label
_atom_site_fract_x
_atom_site_fract_y
_atom_site_fract_z
Nd1 0.000 0.000 0.250
Dy1 0.112 0.388 0.000
Y1 0.000 0.500 0.250
Ho1 0.000 0.000 0.000
Ho2 0.206 0.294 0.369
# energy relative to the elements: 0.2898 eV per atom